# 1
# meta-GGA SCAN InSbSe, single point on PBEsol structure
# - D(E_F): 3.704 states/eV/f.u.
# - Formation energy without anion corrections: 0.19 eV per atom
data_InSbSe
_space_group_name_H-M_alt 'F -4 3 m'
_space_group_IT_number 216
_space_group_name_Hall 'F -4 2 3'
_cell_length_a 7.004
_cell_length_b 7.004
_cell_length_c 7.004
_cell_angle_alpha 90.00
_cell_angle_beta 90.00
_cell_angle_gamma 90.00
loop_
_atom_site_label
_atom_site_type_symbol
_atom_site_fract_x
_atom_site_fract_y
_atom_site_fract_z
In1 In 0.000 0.000 0.000
Sb1 Sb 0.250 0.250 0.750
Se1 Se 0.000 0.000 0.500


# 2
# meta-GGA SCAN LiNdP4N8, single point on PBEsol structure
# - D(E_F): 0.000 states/eV/f.u.
# - Formation energy without anion corrections: -1.11 eV per atom
data_LiNdP4N8
_space_group_name_H-M_alt 'P n m a'
_space_group_IT_number 62
_cell_length_a 8.721
_cell_length_b 7.866
_cell_length_c 9.113
_cell_angle_alpha 90.00
_cell_angle_beta 90.00
_cell_angle_gamma 90.00
loop_
_space_group_symop_operation_xyz
'x,y,z'
'-x,-y,-z'
'-x+1/2,-y,z+1/2'
'x+1/2,y,-z+1/2'
'x+1/2,-y+1/2,-z+1/2'
'-x+1/2,y+1/2,z+1/2'
'-x,y+1/2,-z'
'x,-y+1/2,z'
loop_
_atom_site_label
_atom_site_type_symbol
_atom_site_fract_x
_atom_site_fract_y
_atom_site_fract_z
Li1 Li 0.053 0.250 0.067
Nd1 Nd 0.087 0.750 0.587
P1 P 0.070 0.562 0.191
P2 P 0.230 0.559 0.919
N1 N 0.024 0.750 0.137
N2 N 0.078 0.567 0.817
N3 N 0.127 0.558 0.361
N4 N 0.196 0.250 0.422
N5 N 0.198 0.027 0.080


# 3
# meta-GGA SCAN SrCaMg2, single point on PBEsol structure
# - D(E_F): 2.342 states/eV/f.u.
# - ΔH_f (0 K): -7.2 kJ/mol of formula units
data_SrCaMg2
_space_group_name_H-M_alt 'P 4 m m'
_space_group_IT_number 99
_cell_length_a 3.884
_cell_length_b 3.884
_cell_length_c 8.887
_cell_angle_alpha 90.00
_cell_angle_beta 90.00
_cell_angle_gamma 90.00
loop_
_space_group_symop_operation_xyz
'x,y,z'
'-y,x,z'
'-x,-y,z'
'y,-x,z'
'-x,y,z'
'y,x,z'
'x,-y,z'
'-y,-x,z'
loop_
_atom_site_label
_atom_site_type_symbol
_atom_site_fract_x
_atom_site_fract_y
_atom_site_fract_z
Sr1 Sr 0.000 0.000 0.000
Ca1 Ca 0.500 0.500 0.340
Mg1 Mg 0.000 0.000 0.571
Mg2 Mg 0.500 0.500 0.741


# 4
# meta-GGA SCAN BeMo2W, single point on PBEsol structure
# - D(E_F): 2.492 states/eV/f.u.
# - ΔH_f (0 K): 99.3 kJ/mol of formula units
data_BeMo2W
_space_group_name_H-M_alt 'I -4 m 2'
_space_group_IT_number 119
_space_group_name_Hall 'I -4 -2'
_cell_length_a 3.647
_cell_length_b 3.647
_cell_length_c 8.478
_cell_angle_alpha 90.00
_cell_angle_beta 90.00
_cell_angle_gamma 90.00
loop_
_atom_site_label
_atom_site_type_symbol
_atom_site_fract_x
_atom_site_fract_y
_atom_site_fract_z
Be1 Be 0.000 0.000 0.000
Mo1 Mo 0.000 0.000 0.500
Mo2 Mo 0.000 0.500 0.250
W1 W 0.000 0.500 0.750


What is the formula in the first record?
InSbSe


Which of these has the highest D(E_F)?
InSbSe


Please write out number 4 again, unchanged.
# meta-GGA SCAN BeMo2W, single point on PBEsol structure
# - D(E_F): 2.492 states/eV/f.u.
# - ΔH_f (0 K): 99.3 kJ/mol of formula units
data_BeMo2W
_space_group_name_H-M_alt 'I -4 m 2'
_space_group_IT_number 119
_space_group_name_Hall 'I -4 -2'
_cell_length_a 3.647
_cell_length_b 3.647
_cell_length_c 8.478
_cell_angle_alpha 90.00
_cell_angle_beta 90.00
_cell_angle_gamma 90.00
loop_
_atom_site_label
_atom_site_type_symbol
_atom_site_fract_x
_atom_site_fract_y
_atom_site_fract_z
Be1 Be 0.000 0.000 0.000
Mo1 Mo 0.000 0.000 0.500
Mo2 Mo 0.000 0.500 0.250
W1 W 0.000 0.500 0.750